## one
Material: SiTcIr
Method: DFT, PBE-GGA
State: relaxed

Structure (extended XYZ):
```
3
Lattice="-0.2161 -0.0353 -4.1725 3.3241 -1.6339 1.9337 -1.2601 -2.4617 0.0861" Properties=species:S:1:pos:R:3 pbc="T T T"
Tc 0.1309 -2.1955 -2.0802
Si 1.9194 -1.5399 -0.0864
Ir -0.2025 -0.3956 0.0138
```

***

## two
Material: SiTcIr
Method: DFT, PBE-GGA
State: relaxed

Structure (extended XYZ):
```
3
Lattice="-2.4578 0.0373 3.1767 1.3668 -1.1113 3.6098 0.4965 2.7436 2.8913" Properties=species:S:1:pos:R:3 pbc="T T T"
Si -0.4458 1.2522 7.2584
Ir -0.2972 0.8348 4.8389
Tc 0.0000 0.0000 0.0000
```

***

Stability comparison, relative energies in meV per atom: one 0; two 107

***

## one
Material: SiTcIr3
Method: DFT, PBE-GGA
State: relaxed

Structure (extended XYZ):
```
5
Lattice="4.4163 0.0000 0.0000 0.0000 4.4163 0.0000 0.0000 0.0000 4.4163" Properties=species:S:1:pos:R:3 pbc="T T T"
Ir 0.0000 0.0000 2.2081
Si 0.0000 0.0000 0.0000
Tc 2.2081 2.2081 2.2081
Ir 0.0000 2.2081 0.0000
Ir 2.2081 0.0000 0.0000
```

***

## two
Material: SiTcIr3
Method: DFT, PBE-GGA
State: relaxed

Structure (extended XYZ):
```
5
Lattice="4.6988 0.0000 0.0000 0.0000 4.6988 0.0000 0.0000 0.0000 4.6988" Properties=species:S:1:pos:R:3 pbc="T T T"
Ir 2.3494 0.0000 0.0000
Tc 0.0000 0.0000 0.0000
Si 2.3494 2.3494 2.3494
Ir 0.0000 2.3494 0.0000
Ir 0.0000 0.0000 2.3494
```

***

Stability comparison, relative energies in meV per atom: one 0; two 854

***

## one
Material: SiTe3Ir
Method: DFT, PBE-GGA
State: relaxed

Structure (extended XYZ):
```
5
Lattice="-4.2781 1.3106 2.4039 -1.3827 -4.8833 0.2016 2.3632 -0.4846 4.4698" Properties=species:S:1:pos:R:3 pbc="T T T"
Si 0.0000 0.0000 0.0000
Te -0.6913 -2.4416 0.1008
Te -2.1390 0.6553 1.2020
Ir -1.6488 -2.0286 3.5377
Te 1.1816 -0.2423 2.2349
```

***

## two
Material: SiTe3Ir
Method: DFT, PBE-GGA
State: relaxed

Structure (extended XYZ):
```
5
Lattice="5.2413 0.0000 0.0000 0.0000 5.2413 0.0000 0.0000 0.0000 5.2413" Properties=species:S:1:pos:R:3 pbc="T T T"
Si 2.6206 2.6206 2.6206
Te 0.0000 2.6206 0.0000
Ir 0.0000 0.0000 0.0000
Te 2.6206 0.0000 0.0000
Te 0.0000 0.0000 2.6206
```

***

Stability comparison, relative energies in meV per atom: one 442; two 0